No. 1
Computed, not measured: an optimized crystal structure of PrMgAu at the PBE level of DFT.

Geometry as POSCAR:
```
PrMgAu
1.0
0.0000 3.5424 3.5424
3.5424 0.0000 3.5424
3.5424 3.5424 0.0000
Pr Mg Au
1 1 1
direct
0.0000 0.0000 0.0000 Pr
0.2500 0.2500 0.2500 Mg
0.7500 0.7500 0.7500 Au
```

Output
Raw total energy ... -9.52 eV per formula unit

No. 2
Computed, not measured: an optimized crystal structure of Pr3Mg3PtAu2 at the PBE level of DFT.

Geometry as POSCAR:
```
Pr3Mg3PtAu2
1.0
7.6867 0.0000 0.0000
-3.8434 6.6569 0.0000
0.0000 0.0000 4.2250
Pr Mg Pt Au
3 3 1 2
direct
0.0000 0.4072 0.0000 Pr
0.4072 0.0000 0.0000 Pr
0.5928 0.5928 0.0000 Pr
0.0000 0.7661 0.5000 Mg
0.2339 0.2339 0.5000 Mg
0.7661 0.0000 0.5000 Mg
0.0000 0.0000 0.0000 Pt
0.3333 0.6667 0.5000 Au
0.6667 0.3333 0.5000 Au
```

Output
Raw total energy ... -38.02 eV per formula unit

No. 3
Computed, not measured: an optimized crystal structure of Pr3Mg3Pt2Au at the PBE level of DFT.

Geometry as POSCAR:
```
Pr3Mg3Pt2Au
1.0
7.6364 0.0000 0.0000
-3.8182 6.6133 0.0000
0.0000 0.0000 4.1650
Pr Mg Pt Au
3 3 2 1
direct
0.0000 0.4183 0.0000 Pr
0.4183 0.0000 0.0000 Pr
0.5817 0.5817 0.0000 Pr
0.0000 0.7552 0.5000 Mg
0.2448 0.2448 0.5000 Mg
0.7552 0.0000 0.5000 Mg
0.3333 0.6667 0.5000 Pt
0.6667 0.3333 0.5000 Pt
0.0000 0.0000 0.0000 Au
```

Output
Raw total energy ... -41.62 eV per formula unit

No. 4
Computed, not measured: an optimized crystal structure of TbPr2Mg3Pt2Au at the PBE level of DFT.

Geometry as POSCAR:
```
TbPr2Mg3Pt2Au
1.0
4.1095 0.0000 0.0000
0.0000 6.5607 3.8052
0.0000 -6.5607 3.8052
Tb Pr Mg Pt Au
1 2 3 2 1
direct
0.0000 0.0000 0.0000 Tb
0.0000 0.1681 0.5855 Pr
0.0000 0.5855 0.1681 Pr
0.5000 0.3352 0.3352 Mg
0.5000 0.5892 0.8328 Mg
0.5000 0.8328 0.5892 Mg
0.5000 0.2439 0.9208 Pt
0.5000 0.9208 0.2439 Pt
0.0000 0.5914 0.5914 Au
```

Output
Raw total energy ... -41.63 eV per formula unit

No. 5
Computed, not measured: an optimized crystal structure of Pr3Mg2TlPt2Au at the PBE level of DFT.

Geometry as POSCAR:
```
Pr3Mg2TlPt2Au
1.0
4.1407 0.0000 0.0000
0.0000 6.6519 3.9065
0.0000 -6.6519 3.9065
Pr Mg Tl Pt Au
3 2 1 2 1
direct
0.0000 0.0000 0.0000 Pr
0.0000 0.4281 0.8379 Pr
0.0000 0.8379 0.4281 Pr
0.5000 0.1722 0.4230 Mg
0.5000 0.4230 0.1722 Mg
0.5000 0.6693 0.6693 Tl
0.5000 0.1071 0.7625 Pt
0.5000 0.7625 0.1071 Pt
0.0000 0.3950 0.3950 Au
```

Output
Raw total energy ... -42.28 eV per formula unit

No. 6
Computed, not measured: an optimized crystal structure of Pr2TmMg3Pt2Au at the PBE level of DFT.

Geometry as POSCAR:
```
Pr2TmMg3Pt2Au
1.0
4.1029 0.0000 0.0000
0.0000 6.5284 3.7900
0.0000 -6.5284 3.7900
Pr Tm Mg Pt Au
2 1 3 2 1
direct
0.0000 0.2091 0.7909 Pr
0.0000 0.7909 0.2091 Pr
0.0000 0.6232 0.6232 Tm
0.5000 0.2136 0.4575 Mg
0.5000 0.4575 0.2136 Mg
0.5000 0.9582 0.9582 Mg
0.5000 0.5451 0.8614 Pt
0.5000 0.8614 0.5451 Pt
0.0000 0.2171 0.2171 Au
```

Output
Raw total energy ... -41.49 eV per formula unit

No. 7
Computed, not measured: an optimized crystal structure of PrMgTeAuS2 at the PBE level of DFT.

Geometry as POSCAR:
```
PrMgTeAuS2
1.0
1.9536 -6.9727 0.0000
1.9536 6.9727 0.0000
0.0000 0.0000 11.1336
Pr Mg Te Au S
2 2 2 2 4
direct
0.0000 0.0000 0.0000 Pr
0.0000 0.0000 0.5000 Pr
0.1848 0.8152 0.7500 Mg
0.8152 0.1848 0.2500 Mg
0.1335 0.8665 0.2500 Te
0.8665 0.1335 0.7500 Te
0.4911 0.5089 0.2500 Au
0.5089 0.4911 0.7500 Au
0.3642 0.6358 0.0870 S
0.3642 0.6358 0.4130 S
0.6358 0.3642 0.5870 S
0.6358 0.3642 0.9130 S
```

Output
Raw total energy ... -27.11 eV per formula unit

No. 8
Computed, not measured: an optimized crystal structure of PrMgTe2AuS at the PBE level of DFT.

Geometry as POSCAR:
```
PrMgTe2AuS
1.0
2.0672 -7.0432 0.0000
2.0672 7.0432 0.0000
0.0000 0.0000 10.8298
Pr Mg Te Au S
2 2 4 2 2
direct
0.0000 0.0000 0.0000 Pr
0.0000 0.0000 0.5000 Pr
0.2776 0.7224 0.7500 Mg
0.7224 0.2776 0.2500 Mg
0.3377 0.6623 0.0755 Te
0.3377 0.6623 0.4245 Te
0.6623 0.3377 0.5755 Te
0.6623 0.3377 0.9245 Te
0.4797 0.5203 0.2500 Au
0.5203 0.4797 0.7500 Au
0.1002 0.8998 0.2500 S
0.8998 0.1002 0.7500 S
```

Output
Raw total energy ... -25.08 eV per formula unit